Entry 1:
Compound: In3Se2S
Source: Alexandria
Functional: PBE-GGA
Structure: relaxed

```
6
Lattice="-1.6698 -3.3170 -1.8879 3.7955 -1.6597 -0.4411 -1.8569 -1.4651 8.8132" Properties=species:S:1:pos:R:3 pbc="T T T"
In -0.2153 -6.2301 6.5405
In -1.0139 -2.4693 5.2354
Se -0.7417 -1.1096 2.6057
Se 0.0568 -4.9152 3.9894
In 0.3282 -3.5552 1.3598
S 0.5815 -2.2779 -1.1085
```

For the energy relative to the elements, uncorrected, the calculation gives -410.4 meV/atom. The calculation puts the density of states at the Fermi level at 0.51 states/eV per atom. The energy above the most stable polymorph in this dataset is 0 meV/atom.

***

Entry 2:
Compound: CuIr
Source: Alexandria
Functional: PBE-GGA
Structure: relaxed

```
4
Lattice="-0.9607 -4.4853 0.2293 3.9465 -2.3413 0.1910 -1.5358 3.5591 2.4632" Properties=species:S:1:pos:R:3 pbc="T T T"
Cu -0.5018 -2.1697 1.4513
Cu 0.0000 0.0000 0.0000
Ir 1.4929 -3.4133 0.2101
Ir 1.9519 -1.0977 1.4322
```

The value obtained for the formation energy is 0.145 eV/atom. The calculation puts the density of states at the Fermi level at 0.93 states/eV per atom.

***

Entry 3:
Compound: LaIrPt
Source: Alexandria
Functional: PBE-GGA
Structure: relaxed

```
3
Lattice="5.4944 0.0046 -0.0051 4.2697 3.4581 -0.0049 1.2247 0.4341 3.4261" Properties=species:S:1:pos:R:3 pbc="T T T"
La 6.9378 2.4603 1.1273
Pt 4.4443 1.5759 2.1306
Ir 9.3709 3.3231 0.1482
```

The value obtained for the formation energy is -0.391 eV/atom. The calculation puts the density of states at the Fermi level at 0.61 states/eV per atom. The energy above the most stable polymorph in this dataset is 506 meV/atom.

***

Entry 4:
Compound: TlCoGe2Sb
Source: Alexandria
Functional: PBE-GGA
Structure: relaxed

```
5
Lattice="5.3041 0.0000 0.0000 0.0000 4.8857 0.0000 0.0000 0.0000 5.3041" Properties=species:S:1:pos:R:3 pbc="T T T"
Tl 0.0000 0.0000 0.0000
Ge 2.6521 0.0000 0.0000
Ge 0.0000 0.0000 2.6521
Co 0.0000 2.4428 0.0000
Sb 2.6521 2.4428 2.6521
```

For the energy relative to the elements, uncorrected, the calculation gives 1193.2 meV/atom. The calculation puts the density of states at the Fermi level at 1.19 states/eV per atom.

***

Entry 5:
Compound: ScMo3
Source: Alexandria
Functional: PBE-GGA
Structure: relaxed

```
4
Lattice="-0.8684 0.9100 2.4944 3.0887 -2.9485 3.1940 1.2024 5.1775 -0.4274" Properties=species:S:1:pos:R:3 pbc="T T T"
Mo 1.1101 -1.0192 2.8442
Sc 2.1456 1.1145 1.3833
Mo 0.1670 3.0438 1.0335
Mo 0.0000 0.0000 0.0000
```

The value obtained for the formation energy is 0.104 eV/atom. The calculation puts the density of states at the Fermi level at 1.28 states/eV per atom.

***

Entry 6:
Compound: Ta2TiBeAu
Source: Alexandria
Functional: PBE-GGA
Structure: relaxed

```
5
Lattice="-3.0240 3.0560 -0.9823 -2.8299 -3.1073 -0.9556 -1.3857 -0.0255 4.1867" Properties=species:S:1:pos:R:3 pbc="T T T"
Ti -1.4149 -1.5537 -0.4778
Ta -0.6928 -0.0128 2.0933
Au -3.6198 -0.0384 1.1244
Be 0.0000 0.0000 0.0000
Ta -1.5120 1.5280 -0.4911
```

The value obtained for the formation energy is 0.358 eV/atom. The calculation puts the density of states at the Fermi level at 0.70 states/eV per atom.

***

Entry 7:
Compound: ThZr12Cd3
Source: Alexandria
Functional: PBE-GGA
Structure: relaxed

```
16
Lattice="4.4952 0.0000 0.0000 0.0000 4.4952 0.0000 0.0000 0.0000 18.1445" Properties=species:S:1:pos:R:3 pbc="T T T"
Zr 2.2476 0.0000 6.8556
Zr 2.2476 2.2476 9.0723
Cd 0.0000 0.0000 9.0723
Th 0.0000 0.0000 0.0000
Zr 2.2476 2.2476 0.0000
Zr 2.2476 2.2476 13.4745
Cd 0.0000 0.0000 13.5140
Zr 2.2476 0.0000 2.4014
Zr 0.0000 2.2476 6.8556
Zr 0.0000 2.2476 11.2889
Zr 2.2476 2.2476 4.6700
Zr 2.2476 0.0000 15.7432
Cd 0.0000 0.0000 4.6305
Zr 0.0000 2.2476 15.7432
Zr 2.2476 0.0000 11.2889
Zr 0.0000 2.2476 2.4014
```

The value obtained for the formation energy is -0.040 eV/atom. The calculation puts the density of states at the Fermi level at 1.02 states/eV per atom.

***

Entry 8:
Compound: NpGa2Pd
Source: Alexandria
Functional: PBE-GGA
Structure: relaxed

```
4
Lattice="-1.3612 -4.2259 1.6406 1.2118 -3.9424 -2.3219 3.1931 -2.9563 1.8618" Properties=species:S:1:pos:R:3 pbc="T T T"
Ga 2.2828 -8.3434 0.8854
Ga 0.7609 -2.7811 0.2951
Np 1.5219 -5.5623 0.5903
Pd 0.0000 0.0000 0.0000
```

The value obtained for the formation energy is -0.181 eV/atom. The calculation puts the density of states at the Fermi level at 3.03 states/eV per atom.

***

Entry 9:
Compound: Ac2CdIn6Ag
Source: Alexandria
Functional: PBE-GGA
Structure: relaxed

```
20
Lattice="-5.2115 4.8158 1.2263 -6.8515 -2.1587 0.5031 -2.5449 -0.7972 13.4579" Properties=species:S:1:pos:R:3 pbc="T T T"
In -6.6638 2.9100 2.5386
Ac -11.5878 2.1153 5.8763
In -5.4745 2.5820 8.8805
In -7.2355 1.9636 12.9612
In -9.5580 1.2954 9.1803
Ag 0.0000 0.0000 0.0000
Ac -3.0201 -0.2554 9.3110
Ag -7.3039 0.9299 7.5937
In -8.1559 3.4347 6.7379
In -5.0499 0.5645 6.0070
Cd -6.9832 0.5642 10.3929
In -9.6244 1.9772 2.7560
In -6.4519 -1.5748 8.4494
In -9.1334 -0.7221 6.3068
Cd -7.6247 1.2956 4.7944
In -7.9441 -1.0502 12.6487
In -7.3724 -0.1037 2.2261
Ac -10.8073 1.2255 12.6872
In -4.9835 -0.1174 12.4313
Ac -3.8006 0.6344 2.5002
```

The value obtained for the formation energy is -0.167 eV/atom. The calculation puts the density of states at the Fermi level at 0.52 states/eV per atom.

***

Entry 10:
Compound: Na2CaZrBr
Source: Alexandria
Functional: PBE-GGA
Structure: relaxed

```
5
Lattice="-5.0298 -0.5824 3.4683 -2.2755 -3.3821 -3.8679 2.4883 -4.8666 2.7915" Properties=species:S:1:pos:R:3 pbc="T T T"
Na 1.2442 -2.4333 1.3957
Zr -1.1378 -1.6911 -1.9339
Na -2.5149 -0.2912 1.7342
Br -2.4085 -4.4155 1.1960
Ca 0.0000 0.0000 0.0000
```

For the energy relative to the elements, uncorrected, the calculation gives 920.5 meV/atom. The calculation puts the density of states at the Fermi level at 1.57 states/eV per atom.

***

Entry 11:
Compound: CsLaP4O12
Source: Alexandria
Functional: PBE-GGA
Structure: relaxed

```
36
Lattice="9.4119 0.0000 0.0000 0.0000 7.3181 0.0064 0.0000 1.4542 8.8394" Properties=species:S:1:pos:R:3 pbc="T T T"
O 5.5042 2.4868 5.6504
P 0.2334 6.1989 6.8397
O 5.9796 1.4916 2.0160
O 4.1803 2.5624 3.4414
Cs 8.7773 2.6556 1.5314
O 0.4176 4.0833 4.3410
O 3.2855 6.7884 3.5961
Cs 4.0713 6.1167 7.3145
O 5.3276 3.9746 1.6216
La 0.9302 2.4884 6.1696
O 7.0568 6.3720 0.6568
O 1.4388 1.2043 4.1740
O 6.5815 8.1492 7.0680
P 9.1648 5.3932 4.0392
O 8.7286 1.8494 8.0339
O 1.8756 0.6230 1.7778
O 0.7983 6.2855 3.1955
O 0.6216 4.7977 7.2242
O 1.2737 7.2807 6.8299
P 4.4589 3.3791 4.8066
O 3.7184 2.1676 1.0251
O 8.8863 6.2098 5.4045
P 4.9394 2.5733 2.0062
P 6.6549 1.3672 5.5221
O 7.9914 1.9839 5.2498
O 3.1866 3.3892 5.5941
O 4.0226 6.9228 0.8120
P 1.9490 7.4051 3.3238
La 5.6361 6.2838 2.6763
P 3.0365 0.7269 0.6513
P 7.7425 8.0453 8.1946
O 5.1236 4.6889 4.5049
O 6.1447 7.5680 4.6719
O 7.8925 5.3830 3.2518
O 8.4243 6.6046 7.8208
O 2.3509 2.4002 8.1891
```

For the energy relative to the elements, uncorrected, the calculation gives -2476.5 meV/atom. The calculation puts the density of states at the Fermi level at 0.00 states/eV per atom.

***

Entry 12:
Compound: MgSb2TeOs
Source: Alexandria
Functional: PBE-GGA
Structure: relaxed

```
5
Lattice="5.2249 0.0000 0.0000 0.0000 5.2249 0.0000 0.0000 0.0000 5.2362" Properties=species:S:1:pos:R:3 pbc="T T T"
Te 0.0000 0.0000 2.6181
Sb 0.0000 2.6125 0.0000
Sb 2.6125 0.0000 0.0000
Mg 0.0000 0.0000 0.0000
Os 2.6125 2.6125 2.6181
```

For the energy relative to the elements, uncorrected, the calculation gives 1549.5 meV/atom. The calculation puts the density of states at the Fermi level at 1.25 states/eV per atom. The energy above the most stable polymorph in this dataset is 1045 meV/atom.

***

Entry 13:
Compound: MnP3Rh
Source: Alexandria
Functional: PBE-GGA
Structure: relaxed

```
5
Lattice="-3.0451 -0.9830 3.2226 -1.4658 -3.5247 -2.4602 3.0336 -2.6898 2.0461" Properties=species:S:1:pos:R:3 pbc="T T T"
P -0.7329 -1.7623 -1.2301
Rh 0.0000 0.0000 0.0000
Mn -0.7387 -3.5987 1.4043
P 1.5168 -1.3449 1.0231
P -1.5226 -0.4915 1.6113
```

The value obtained for the formation energy is 1.195 eV/atom. The calculation puts the density of states at the Fermi level at 1.19 states/eV per atom. The energy above the most stable polymorph in this dataset is 666 meV/atom.

***

Entry 14:
Compound: Pm3NdDy3
Source: Alexandria
Functional: PBE-GGA
Structure: relaxed

```
14
Lattice="8.0714 0.7761 3.7221 2.6866 7.6506 3.7221 0.9908 0.7761 8.8329" Properties=species:S:1:pos:R:3 pbc="T T T"
Dy 2.0942 2.8784 8.6012
Dy 7.1254 1.3438 5.8373
Dy 7.1569 2.6066 11.5808
Dy 4.6234 7.8590 10.4399
Dy 9.6547 6.3243 7.6760
Nd 4.0659 3.1848 5.6331
Nd 7.6829 6.0180 10.6442
Pm 8.6917 3.1929 8.3274
Pm 6.2717 7.6741 7.5406
Pm 3.0571 6.0099 7.9498
Dy 4.5919 6.5962 4.6964
Pm 5.4771 1.5287 8.7366
Pm 7.4115 4.9516 5.4052
Pm 4.3373 4.2512 10.8720
```

The value obtained for the formation energy is 0.202 eV/atom. The calculation puts the density of states at the Fermi level at 1.51 states/eV per atom. The energy above the most stable polymorph in this dataset is 179 meV/atom.

***

Entry 15:
Compound: NpCo2Ge4
Source: Alexandria
Functional: PBE-GGA
Structure: relaxed

```
28
Lattice="-2.2990 2.9219 -1.6431 -2.6343 -4.3095 -3.9777 -12.1504 -3.1288 11.4366" Properties=species:S:1:pos:R:3 pbc="T T T"
Ge -7.2514 -1.8054 -0.6065
Co -12.7973 -6.0312 4.6665
Co -2.9661 -2.6228 -3.0279
Ge -4.8770 -3.2611 -1.4894
Ge -9.8324 -2.7110 6.4223
Co -9.0209 -4.1537 2.7212
Ge -9.9939 -1.8162 3.2115
Np -9.5339 0.1368 6.0409
Ge -7.0898 -2.7002 2.6042
Co -8.0629 -0.3627 3.0945
Co -4.2864 1.5148 1.1492
Co -14.1177 -1.8936 8.8437
Ge -7.3639 -1.5239 5.0794
Ge -13.5439 -3.7253 4.7836
Np -12.3712 -4.1664 7.3864
Ge -11.9387 -2.2584 10.1742
Ge -15.2123 -3.6035 7.3346
Co -11.6543 -2.1643 4.9157
Np -7.5498 -4.6532 -0.2251
Ge -6.3642 -0.0716 1.2355
Co -5.4295 -2.3521 0.9001
Ge -5.1450 -2.2580 -4.3585
Ge -12.2067 -1.2552 7.3052
Ge -1.8714 -0.9129 -1.5188
Ge -10.7195 -4.4448 4.5803
Ge -3.5398 -0.7911 1.0321
Np -4.7125 -0.3500 -1.5707
Ge -9.7199 -2.9925 0.7363
```

The value obtained for the formation energy is -0.234 eV/atom. The calculation puts the density of states at the Fermi level at 1.58 states/eV per atom.

***

Entry 16:
Compound: Mg2NpScO8
Source: Alexandria
Functional: PBE-GGA
Structure: relaxed

```
12
Lattice="4.9780 0.0910 -0.0032 0.1214 4.3529 -0.0052 0.0040 0.0063 6.5420" Properties=species:S:1:pos:R:3 pbc="T T T"
O 4.2703 1.1530 1.6116
O 0.8331 3.2972 4.9220
Np 0.0000 0.0000 0.0000
O 2.1052 0.7084 3.2689
O 1.6285 1.1387 6.5396
O 3.4749 3.3115 -0.0060
O 2.9982 3.7418 3.2646
Sc 0.0020 0.0031 3.2710
O 0.8313 3.2944 1.6106
O 4.2721 1.1558 4.9230
Mg 2.5508 2.2236 1.5926
Mg 2.5526 2.2265 4.9409
```

For the energy relative to the elements, uncorrected, the calculation gives -2448.3 meV/atom.

***

Entry 17:
Compound: NpTePtO6
Source: Alexandria
Functional: PBE-GGA
Structure: relaxed

```
18
Lattice="5.3695 0.0000 0.0000 -2.6847 4.6501 0.0000 0.0000 0.0000 9.8547" Properties=species:S:1:pos:R:3 pbc="T T T"
O 1.7929 3.1018 6.1961
O -1.7898 3.1036 3.6586
Te 0.0000 0.0000 0.0000
Te 0.0000 0.0000 4.9273
Pt 2.6848 1.5500 7.3910
O 0.8919 1.5483 3.6586
O 1.7898 3.1036 1.2687
O 1.7868 0.0018 6.1961
Np 0.0000 3.1001 7.3910
O 4.4746 1.5465 6.1961
Np 2.6848 1.5500 2.4637
O 3.5766 3.1018 8.5859
O 3.5827 0.0018 8.5859
O -0.8919 1.5483 1.2687
O 0.8949 1.5465 8.5859
O 0.8980 4.6484 3.6586
Pt 0.0000 3.1001 2.4637
O -0.8980 4.6484 1.2687
```

For the energy relative to the elements, uncorrected, the calculation gives -1412.9 meV/atom. The calculation puts the density of states at the Fermi level at 0.53 states/eV per atom.

***

Entry 18:
Compound: Li2W
Source: Alexandria
Functional: PBE-GGA
Structure: relaxed

```
3
Lattice="-1.3082 1.2244 2.0620 -0.4162 -2.6536 -0.4979 5.6958 -1.7685 4.6638" Properties=species:S:1:pos:R:3 pbc="T T T"
W 0.0000 0.0000 0.0000
Li 1.1238 -1.9314 1.8598
Li 2.8476 -1.2663 4.3681
```

The value obtained for the formation energy is 0.383 eV/atom. The calculation puts the density of states at the Fermi level at 1.06 states/eV per atom. The energy above the most stable polymorph in this dataset is 0 meV/atom.

***

Entry 19:
Compound: BaTeF
Source: Alexandria
Functional: PBE-GGA
Structure: relaxed

```
6
Lattice="-0.8510 -3.0845 3.3651 0.2700 -3.4511 -3.0950 8.0967 -0.6601 1.4425" Properties=species:S:1:pos:R:3 pbc="T T T"
Te 0.1196 -1.5867 1.7797
F 3.7579 -3.5979 0.8563
Ba 2.8065 -1.9434 -1.0716
F 4.0484 -0.3301 0.7212
Ba 4.9997 -1.9846 2.6491
Te 7.6867 -2.3412 -0.2021
```

For the energy relative to the elements, uncorrected, the calculation gives -2363.4 meV/atom. The calculation puts the density of states at the Fermi level at 0.39 states/eV per atom. The energy above the most stable polymorph in this dataset is 0 meV/atom.

***

Entry 20:
Compound: Cs2YTcCl6
Source: Alexandria
Functional: PBE-GGA
Structure: relaxed

```
10
Lattice="7.3076 0.0000 0.0000 0.0000 7.3076 0.0000 3.6538 3.6538 5.1674" Properties=species:S:1:pos:R:3 pbc="T T T"
Cs 3.6538 7.3076 2.5837
Cl 1.7714 1.7714 0.0000
Y 3.6538 3.6538 0.0000
Cl 1.7714 5.5362 0.0000
Cs 7.3076 3.6538 2.5837
Cl 3.6538 3.6538 2.6621
Cl 7.3076 7.3076 2.5053
Tc 0.0000 0.0000 0.0000
Cl 5.5362 5.5362 0.0000
Cl 5.5362 1.7714 0.0000
```

For the energy relative to the elements, uncorrected, the calculation gives -1487.2 meV/atom. The calculation puts the density of states at the Fermi level at 0.00 states/eV per atom.

***

Entry 21:
Compound: Cs2SbPt
Source: Alexandria
Functional: PBE-GGA
Structure: relaxed

```
8
Lattice="5.0066 0.0000 0.0000 0.0000 6.2006 -0.4775 0.0000 0.8673 11.5974" Properties=species:S:1:pos:R:3 pbc="T T T"
Cs 3.7549 5.1792 6.7046
Cs 1.2516 5.4529 10.4071
Pt 3.7549 2.2223 8.7942
Pt 1.2516 4.8455 2.3256
Sb 3.7549 4.8840 2.7051
Cs 1.2516 1.8887 4.4152
Sb 1.2516 2.1839 8.4148
Cs 3.7549 1.6150 0.7128
```

For the energy relative to the elements, uncorrected, the calculation gives -374.3 meV/atom. The calculation puts the density of states at the Fermi level at 0.41 states/eV per atom.

***

Entry 22:
Compound: CsCaTlS2
Source: Alexandria
Functional: PBE-GGA
Structure: relaxed

```
10
Lattice="7.7233 0.0000 0.0000 0.0000 8.1222 0.4949 0.0000 -1.9185 6.8877" Properties=species:S:1:pos:R:3 pbc="T T T"
S 5.1988 0.5606 3.8171
S 2.5245 5.6431 3.5655
Ca 3.7953 -0.4796 1.7219
Tl 0.0000 -0.9593 3.4438
Ca 3.9280 -1.4389 5.1658
Tl 0.0000 0.0000 0.0000
S 2.5245 1.5198 0.3733
S 5.1988 4.6839 7.0094
Cs 5.0715 3.5815 1.9694
Cs 2.6518 2.6222 5.4132
```

For the energy relative to the elements, uncorrected, the calculation gives -1044.4 meV/atom. The calculation puts the density of states at the Fermi level at 0.01 states/eV per atom.

***

Magnetization? In order: 0.000, 0.000, 0.000, 1.981, 0.000, 0.000, 0.000, 4.342, 0.000, 0.001, 0.000, 2.198, 0.274, 0.000, 3.726, 0.000, 2.950, 0.001, 0.000, 0.000, 0.000, 0.000 μB per formula unit.